Li2MnSb at its PBEsol-relaxed geometry. Source: the Alexandria database, functional meta-GGA SCAN. Values from VASP.

electronic total energy: -61.88 eV for the cell shown
total magnetization: 4.18 μB per cell

The structure in Quantum ESPRESSO input format:
```
&SYSTEM
  ibrav = 0, nat = 4, ntyp = 3
/
ATOMIC_SPECIES
Li 6.94 Li.upf
Sb 121.76 Sb.upf
Mn 54.94 Mn.upf
ATOMIC_POSITIONS angstrom
Li 1.9687 0.0000 0.0000
Li 0.0000 1.9687 0.0000
Sb 0.0000 0.0000 2.1540
Mn 1.9687 1.9687 2.1540
CELL_PARAMETERS angstrom
3.9374 0.0000 0.0000
0.0000 3.9374 0.0000
0.0000 0.0000 4.3079
```